{"formula": "BeNbNiBi", "functional": "PBE-GGA", "state": "optimized geometry", "lattice": [[6.414, 0.000, 0.000], [0.000, 6.414, 0.000], [0.000, 0.000, 6.414]], "species": ["Be", "Be", "Be", "Be", "Nb", "Nb", "Nb", "Nb", "Ni", "Ni", "Ni", "Ni", "Bi", "Bi", "Bi", "Bi"], "fractional_positions": [[0.000, 0.000, 0.000], [0.000, 0.500, 0.500], [0.500, 0.000, 0.500], [0.500, 0.500, 0.000], [0.250, 0.250, 0.250], [0.250, 0.750, 0.750], [0.750, 0.250, 0.750], [0.750, 0.750, 0.250], [0.250, 0.250, 0.750], [0.250, 0.750, 0.250], [0.750, 0.250, 0.250], [0.750, 0.750, 0.750], [0.000, 0.000, 0.500], [0.000, 0.500, 0.000], [0.500, 0.000, 0.000], [0.500, 0.500, 0.500]], "total_magnetization_mub_per_atom": 0.173, "dft_energy_ev_per_atom": -5.304}